No. 1
# ScHg2Ir2, optimized geometry, DFT PBE
data_ScHg2Ir2
_space_group_name_H-M_alt 'P 4/m b m'
_space_group_IT_number 127
_space_group_name_Hall '-P 4 2ab'
_cell_length_a 6.837
_cell_length_b 6.837
_cell_length_c 4.158
_cell_angle_alpha 90.00
_cell_angle_beta 90.00
_cell_angle_gamma 90.00
loop_
_atom_site_label
_atom_site_type_symbol
_atom_site_fract_x
_atom_site_fract_y
_atom_site_fract_z
Sc1 Sc 0.000 0.000 0.000
Hg1 Hg 0.172 0.328 0.500
Ir1 Ir 0.131 0.631 0.000
# - E (eV per atom) = -4.968
# - density of states at the Fermi level (states/eV per atom) = 0.56
# - energy of formation from the pure elements (meV/atom) = -36


No. 2
# Sc4HgIr, optimized geometry, DFT PBE
data_Sc4HgIr
_space_group_name_H-M_alt 'P 4/m m m'
_space_group_IT_number 123
_space_group_name_Hall '-P 4 2'
_cell_length_a 4.583
_cell_length_b 4.583
_cell_length_c 6.831
_cell_angle_alpha 90.00
_cell_angle_beta 90.00
_cell_angle_gamma 90.00
loop_
_atom_site_label
_atom_site_type_symbol
_atom_site_fract_x
_atom_site_fract_y
_atom_site_fract_z
Sc1 Sc 0.000 0.500 0.225
Hg1 Hg 0.000 0.000 0.500
Ir1 Ir 0.500 0.500 0.000
# - E (eV per atom) = -6.143
# - density of states at the Fermi level (states/eV per atom) = 1.63
# - energy above the most stable polymorph in this dataset (eV/atom) = 0.000
# - energy of formation from the pure elements (meV/atom) = -395


No. 3
# Sc2HgIr, optimized geometry, DFT PBE
data_Sc2HgIr
_space_group_name_H-M_alt 'C m m m'
_space_group_IT_number 65
_space_group_name_Hall '-C 2 2'
_cell_length_a 6.832
_cell_length_b 6.843
_cell_length_c 3.259
_cell_angle_alpha 90.00
_cell_angle_beta 90.00
_cell_angle_gamma 90.00
loop_
_atom_site_label
_atom_site_type_symbol
_atom_site_fract_x
_atom_site_fract_y
_atom_site_fract_z
Sc1 Sc 0.250 0.250 0.000
Hg1 Hg 0.000 0.000 0.500
Ir1 Ir 0.000 0.500 0.500
# - E (eV per atom) = -6.090
# - density of states at the Fermi level (states/eV per atom) = 0.57
# - energy of formation from the pure elements (meV/atom) = -633